The following is a DFT calculation (PBE) of crystalline Li3In6Pb at its relaxed geometry.

Values from the calculation:
ΔE_f	-1.30	eV/f.u.
crystal system	monoclinic
total magnetic moment	0.000	μB per formula unit

Cell: 8.4030 5.4453 11.0634 Å, 90.00 108.09 90.00°
Sites, in units of the cell vectors:
Li  0.0812  0.2500  0.2282
Li  0.2945  0.7500  0.3603
Li  0.3038  0.2500  0.0333
Li  0.6962  0.7500  0.9667
Li  0.7055  0.2500  0.6397
Li  0.9188  0.7500  0.7718
In  0.0902  0.7500  0.0631
In  0.1053  0.2500  0.7437
In  0.3106  0.7500  0.8732
In  0.3201  0.2500  0.5361
In  0.4712  0.2500  0.3196
In  0.4898  0.7500  0.1653
In  0.5102  0.2500  0.8347
In  0.5288  0.7500  0.6804
In  0.6799  0.7500  0.4639
In  0.6894  0.2500  0.1268
In  0.8947  0.7500  0.2563
In  0.9098  0.2500  0.9369
Pb  0.1148  0.7500  0.5687
Pb  0.8852  0.2500  0.4313